Arrangement i

Entry from Alexandria via LeMat-Bulk: crystalline Ho2Zn2Pb at its relaxed geometry (GGA-PBE).

Lattice parameters (Å, degrees): 4.481 14.296 3.587 90.00 90.00 90.00
Space group Cmmm (No. 65)
One atom of each set of equivalent atoms:
1 Ho 0.000 0.128 0.000 [4 per cell]
2 Zn 0.000 0.294 0.500 [4 per cell]
3 Pb 0.000 0.500 0.500 [2 per cell]

Summary:
Volume: 229.8 Å³ per cell
DOS at the Fermi energy: 9.0 states/eV/cell

Arrangement ii

Entry from Alexandria via LeMat-Bulk: crystalline Ho2Zn2Pb at its relaxed geometry (GGA-PBE).

Lattice parameters (Å, degrees): 4.291 6.062 9.036 90.00 90.00 90.00
Space group Immm (No. 71)
One atom of each set of equivalent atoms:
1 Ho 0.000 0.000 0.214 [4 per cell]
2 Zn 0.000 0.300 0.500 [4 per cell]
3 Pb 0.000 0.500 0.000 [2 per cell]

Summary:
Volume: 235.0 Å³ per cell
DOS at the Fermi energy: 10.1 states/eV/cell

Stability ranking, top and bottom: arrangement i is the most stable and arrangement ii is the least stable.

Arrangement i

Entry from Alexandria via LeMat-Bulk: crystalline Pm2Ho3Pd2 at its relaxed geometry (GGA-PBE).

Lattice parameters (Å, degrees): 3.718 6.602 8.470 90.76 102.56 106.32
Space group P-1 (No. 2)
One atom of each set of equivalent atoms:
1 Pm 0.234 0.351 0.121 [2 per cell]
2 Ho 0.000 0.500 0.500 [1 per cell]
3 Ho 0.437 0.099 0.778 [2 per cell]
4 Pd 0.289 0.147 0.430 [2 per cell]

Summary:
Volume: 194.1 Å³ per cell
DOS at the Fermi energy: 8.4 states/eV/cell

Arrangement ii

Entry from Alexandria via LeMat-Bulk: crystalline Pm2Ho3Pd2 at its relaxed geometry (GGA-PBE).

Lattice parameters (Å, degrees): 12.567 3.726 9.130 90.00 117.59 90.00
Space group C2/m (No. 12)
One atom of each set of equivalent atoms:
1 Pm 0.155 0.000 0.313 [4 per cell]
2 Ho 0.000 0.500 0.500 [2 per cell]
3 Ho 0.115 0.500 0.942 [4 per cell]
4 Pd 0.165 0.000 0.739 [4 per cell]

Summary:
Volume: 378.9 Å³ per cell
DOS at the Fermi energy: 16.3 states/eV/cell

Stability ranking, top and bottom: arrangement ii is the most stable and arrangement i is the least stable.

Arrangement i

Entry from Alexandria via LeMat-Bulk: crystalline Pm2HoPd3 at its relaxed geometry (GGA-PBE).

Lattice parameters (Å, degrees): 13.066 5.864 8.295 90.00 108.51 90.00
Space group C2/c (No. 15)
One atom of each set of equivalent atoms:
1 Pm 0.168 0.005 0.084 [8 per cell]
2 Ho 0.000 0.488 0.250 [4 per cell]
3 Pd 0.000 0.012 0.750 [4 per cell]
4 Pd 0.160 0.494 0.580 [8 per cell]

Summary:
Volume: 602.7 Å³ per cell
DOS at the Fermi energy: 16.4 states/eV/cell

Arrangement ii

Entry from Alexandria via LeMat-Bulk: crystalline Pm2HoPd3 at its relaxed geometry (GGA-PBE).

Lattice parameters (Å, degrees): 5.066 15.414 3.480 90.00 90.00 90.00
Space group Pmmn (No. 59, origin choice 2)
One atom of each set of equivalent atoms:
1 Pm 0.250 0.084 0.002 [4 per cell]
2 Ho 0.250 0.750 0.998 [2 per cell]
3 Pd 0.250 0.250 0.502 [2 per cell]
4 Pd 0.250 0.594 0.498 [4 per cell]

Summary:
Volume: 271.7 Å³ per cell
DOS at the Fermi energy: 7.5 states/eV/cell

Stability ranking, top and bottom: arrangement ii is the most stable and arrangement i is the least stable.

Arrangement i

Entry from Alexandria via LeMat-Bulk: crystalline PmHoPdPt at its relaxed geometry (GGA-PBE).

Lattice parameters (Å, degrees): 7.079 7.079 7.079 90.00 90.00 90.00
Space group F-43m (No. 216)
One atom of each set of equivalent atoms:
1 Pm 0.000 0.000 0.000 [4 per cell]
2 Ho 0.000 0.000 0.500 [4 per cell]
3 Pd 0.250 0.250 0.750 [4 per cell]
4 Pt 0.250 0.250 0.250 [4 per cell]

Summary:
Volume: 354.8 Å³ per cell
DOS at the Fermi energy: 15.6 states/eV/cell

Arrangement ii

Entry from Alexandria via LeMat-Bulk: crystalline PmHoPdPt at its relaxed geometry (GGA-PBE).

Lattice parameters (Å, degrees): 4.521 3.810 10.691 90.00 90.00 90.00
Space group Amm2 (No. 38)
One atom of each set of equivalent atoms:
1 Pm 0.000 0.000 0.000 [2 per cell]
2 Ho 0.500 0.000 0.726 [2 per cell]
3 Pd 0.500 0.000 0.447 [2 per cell]
4 Pt 0.000 0.000 0.274 [2 per cell]

Summary:
Volume: 184.1 Å³ per cell
DOS at the Fermi energy: 5.0 states/eV/cell

Stability ranking, top and bottom: arrangement ii is the most stable and arrangement i is the least stable.

Arrangement i

Entry from Alexandria via LeMat-Bulk: crystalline PmHoSiPd at its relaxed geometry (GGA-PBE).

Lattice parameters (Å, degrees): 4.235 4.012 10.964 90.00 90.00 90.00
Space group Amm2 (No. 38)
One atom of each set of equivalent atoms:
1 Pm 0.000 0.000 0.000 [2 per cell]
2 Ho 0.500 0.000 0.279 [2 per cell]
3 Si 0.000 0.000 0.723 [2 per cell]
4 Pd 0.500 0.000 0.573 [2 per cell]

Summary:
Volume: 186.3 Å³ per cell
DOS at the Fermi energy: 5.0 states/eV/cell

Arrangement ii

Entry from Alexandria via LeMat-Bulk: crystalline PmHoSiPd at its relaxed geometry (GGA-PBE).

Lattice parameters (Å, degrees): 7.126 7.126 7.126 90.00 90.00 90.00
Space group F-43m (No. 216)
One atom of each set of equivalent atoms:
1 Pm 0.000 0.000 0.000 [4 per cell]
2 Ho 0.000 0.000 0.500 [4 per cell]
3 Si 0.250 0.250 0.250 [4 per cell]
4 Pd 0.250 0.250 0.750 [4 per cell]

Summary:
Volume: 361.8 Å³ per cell
DOS at the Fermi energy: 9.5 states/eV/cell

Stability ranking, top and bottom: arrangement i is the most stable and arrangement ii is the least stable.

Arrangement i

Entry from Alexandria via LeMat-Bulk: crystalline Pr2HoPd2 at its relaxed geometry (GGA-PBE).

Lattice parameters (Å, degrees): 7.955 7.955 4.106 90.00 90.00 90.00
Space group P4/mbm (No. 127)
One atom of each set of equivalent atoms:
1 Pr 0.169 0.331 0.000 [4 per cell]
2 Ho 0.000 0.000 0.500 [2 per cell]
3 Pd 0.130 0.630 0.500 [4 per cell]

Summary:
Volume: 259.8 Å³ per cell
DOS at the Fermi energy: 9.5 states/eV/cell

Arrangement ii

Entry from Alexandria via LeMat-Bulk: crystalline Pr2HoPd2 at its relaxed geometry (GGA-PBE).

Lattice parameters (Å, degrees): 13.121 4.018 11.516 90.00 119.04 90.00
Space group C2/m (No. 12)
One atom of each set of equivalent atoms:
1 Pr 0.045 0.000 0.196 [4 per cell]
2 Pr 0.171 0.000 0.578 [4 per cell]
3 Ho 0.205 0.500 0.859 [4 per cell]
4 Pd 0.013 0.500 0.381 [4 per cell]
5 Pd 0.124 0.500 0.053 [4 per cell]

Summary:
Volume: 530.8 Å³ per cell
DOS at the Fermi energy: 15.6 states/eV/cell

Stability ranking, top and bottom: arrangement ii is the most stable and arrangement i is the least stable.

Arrangement i

Entry from Alexandria via LeMat-Bulk: crystalline PrHo3Pd at its relaxed geometry (GGA-PBE).

Lattice parameters (Å, degrees): 5.462 5.462 5.462 90.00 90.00 90.00
Space group Pm-3m (No. 221)
One atom of each set of equivalent atoms:
1 Pr 0.000 0.000 0.000 [1 per cell]
2 Ho 0.000 0.500 0.500 [3 per cell]
3 Pd 0.500 0.500 0.500 [1 per cell]

Summary:
Volume: 163.0 Å³ per cell
DOS at the Fermi energy: 8.6 states/eV/cell

Arrangement ii

Entry from Alexandria via LeMat-Bulk: crystalline PrHo3Pd at its relaxed geometry (GGA-PBE).

Lattice parameters (Å, degrees): 11.672 8.378 7.870 90.00 127.17 90.00
Space group C2/m (No. 12)
One atom of each set of equivalent atoms:
1 Pr 0.043 0.000 0.306 [4 per cell]
2 Ho 0.074 0.500 0.272 [4 per cell]
3 Ho 0.198 0.299 0.734 [8 per cell]
4 Pd 0.222 0.500 0.070 [4 per cell]

Summary:
Volume: 613.2 Å³ per cell
DOS at the Fermi energy: 27.5 states/eV/cell

Stability ranking, top and bottom: arrangement ii is the most stable and arrangement i is the least stable.

Arrangement i

Entry from Alexandria via LeMat-Bulk: crystalline PrHoPdPt at its relaxed geometry (GGA-PBE).

Lattice parameters (Å, degrees): 7.133 7.133 7.133 90.00 90.00 90.00
Space group F-43m (No. 216)
One atom of each set of equivalent atoms:
1 Pr 0.000 0.000 0.000 [4 per cell]
2 Ho 0.000 0.000 0.500 [4 per cell]
3 Pd 0.250 0.250 0.250 [4 per cell]
4 Pt 0.250 0.250 0.750 [4 per cell]

Summary:
Volume: 363.0 Å³ per cell
DOS at the Fermi energy: 14.0 states/eV/cell

Arrangement ii

Entry from Alexandria via LeMat-Bulk: crystalline PrHoPdPt at its relaxed geometry (GGA-PBE).

Lattice parameters (Å, degrees): 4.542 3.838 10.792 90.00 90.00 90.00
Space group Amm2 (No. 38)
One atom of each set of equivalent atoms:
1 Pr 0.000 0.000 0.000 [2 per cell]
2 Ho 0.500 0.000 0.726 [2 per cell]
3 Pd 0.500 0.000 0.446 [2 per cell]
4 Pt 0.000 0.000 0.273 [2 per cell]

Summary:
Volume: 188.1 Å³ per cell
DOS at the Fermi energy: 4.8 states/eV/cell

Stability ranking, top and bottom: arrangement ii is the most stable and arrangement i is the least stable.